1.
# Ba4Bi2Pt

An optimized crystal structure of Ba4Bi2Pt (PBE, Alexandria via LeMat-Bulk).

## Properties
magnetic moment: 0.000 μB/atom
space-group type: I4/mmm (139)
energy of formation from the pure elements: -0.7818 eV per atom
uncorrected energy: -3.852 eV/atom

abc: 5.8958 5.8958 10.1606
angles: 106.87 106.87 90.00
Fractional positions:
Pt 0.0000 0.0000 0.0000
Bi 0.3674 0.3674 0.7348
Bi 0.6326 0.6326 0.2652
Ba 0.0000 0.5000 0.0000
Ba 0.5000 0.0000 0.0000
Ba 0.1787 0.1787 0.3573
Ba 0.8213 0.8213 0.6427



2.
# BaBi2Pt2

An optimized crystal structure of BaBi2Pt2 (PBE, Alexandria via LeMat-Bulk).

## Properties
magnetic moment: 0.000 μB/atom
space-group type: I4/mmm (139)
energy of formation from the pure elements: -0.5623 eV per atom
uncorrected energy: -4.916 eV/atom

abc: 5.0008 5.0008 6.4933
angles: 67.35 67.35 90.00
Fractional positions:
Pt 0.3758 0.3758 0.2485
Pt 0.6242 0.6242 0.7515
Bi 0.2500 0.7500 0.5000
Bi 0.7500 0.2500 0.5000
Ba 0.0000 0.0000 0.0000



3.
# Ba2BiPt2

An optimized crystal structure of Ba2BiPt2 (PBE, Alexandria via LeMat-Bulk).

## Properties
excess energy over the best structure of this formula in the dataset: 0.0 meV per atom
magnetic moment: 0.000 μB/atom
space-group type: Immm (71)
energy of formation from the pure elements: -0.7658 eV per atom
uncorrected energy: -4.727 eV/atom

abc: 4.8578 6.2677 6.2677
angles: 59.43 67.19 67.19
Fractional positions:
Pt 0.0000 0.2164 0.2836
Pt 0.0000 0.7836 0.7164
Bi 0.5000 0.5000 0.0000
Ba 0.7047 0.7951 0.2951
Ba 0.2953 0.2049 0.7049



4.
# Ba2Bi2Pt

An optimized crystal structure of Ba2Bi2Pt (PBE, Alexandria via LeMat-Bulk).

## Properties
excess energy over the best structure of this formula in the dataset: 397.6 meV per atom
magnetic moment: 0.000 μB/atom
space-group type: P4/mbm (127)
energy of formation from the pure elements: -0.3688 eV per atom
uncorrected energy: -3.898 eV/atom

abc: 8.5356 8.5356 5.5515
angles: 90.00 90.00 90.00
Fractional positions:
Ba 0.1807 0.3193 0.0000
Ba 0.8193 0.6807 0.0000
Ba 0.6807 0.1807 0.0000
Ba 0.3193 0.8193 0.0000
Bi 0.3798 0.1202 0.5000
Bi 0.1202 0.6202 0.5000
Bi 0.6202 0.8798 0.5000
Bi 0.8798 0.3798 0.5000
Pt 0.5000 0.5000 0.0000
Pt 0.0000 0.0000 0.0000



5.
# BaBiPt5

An optimized crystal structure of BaBiPt5 (PBE, Alexandria via LeMat-Bulk).

## Properties
magnetic moment: 0.000 μB/atom
space-group type: Pnma (62)
energy of formation from the pure elements: -0.3728 eV per atom
uncorrected energy: -5.517 eV/atom

abc: 5.7498 8.9947 11.3749
angles: 90.00 90.00 90.00
Fractional positions:
Pt 0.5022 0.5832 0.8224
Pt 0.9978 0.0832 0.6776
Pt 0.7500 0.9020 0.5259
Pt 0.2500 0.4085 0.3883
Pt 0.2500 0.6604 0.2626
Pt 0.9978 0.5832 0.8224
Pt 0.7500 0.3396 0.7374
Pt 0.2500 0.0980 0.4741
Pt 0.5022 0.0832 0.6776
Pt 0.0022 0.4168 0.1776
Pt 0.7500 0.5915 0.6117
Pt 0.2500 0.9085 0.1117
Pt 0.0022 0.9168 0.3224
Pt 0.2500 0.1604 0.2374
Pt 0.4978 0.4168 0.1776
Pt 0.2500 0.5980 0.0259
Pt 0.7500 0.0915 0.8883
Pt 0.4978 0.9168 0.3224
Pt 0.7500 0.4020 0.9741
Pt 0.7500 0.8396 0.7626
Bi 0.7500 0.1447 0.1324
Bi 0.2500 0.8553 0.8676
Bi 0.7500 0.6447 0.3676
Bi 0.2500 0.3553 0.6324
Ba 0.2500 0.7466 0.5659
Ba 0.2500 0.2466 0.9341
Ba 0.7500 0.7534 0.0659
Ba 0.7500 0.2534 0.4341



6.
# BaBi2Pt2

An optimized crystal structure of BaBi2Pt2 (PBE, Alexandria via LeMat-Bulk).

## Properties
magnetic moment: 0.000 μB/atom
space-group type: P4/mbm (127)
energy of formation from the pure elements: -0.3055 eV per atom
uncorrected energy: -4.659 eV/atom

abc: 8.2778 8.2778 3.8239
angles: 90.00 90.00 90.00
Fractional positions:
Pt 0.3774 0.8774 0.0000
Pt 0.8774 0.6226 0.0000
Pt 0.1226 0.3774 0.0000
Pt 0.6226 0.1226 0.0000
Bi 0.1561 0.6561 0.5000
Bi 0.8439 0.3439 0.5000
Bi 0.6561 0.8439 0.5000
Bi 0.3439 0.1561 0.5000
Ba 0.5000 0.5000 0.0000
Ba 0.0000 0.0000 0.0000